1.
PBE Cs2MgCu, relaxed; magnetic moment = 0.00 μB/f.u.; DOS at the Fermi energy = 0.791 states/eV/atom; space-group type = No. 225
1.0
0.000 4.603 4.603
4.603 0.000 4.603
4.603 4.603 0.000
Cs Mg Cu
2 1 1
Cartesian
2.302 2.302 2.302
6.905 6.905 6.905
0.000 0.000 0.000
4.603 4.603 4.603



2.
PBE Cs2MgCu, relaxed; magnetic moment = 0.00 μB/f.u.; DOS at the Fermi energy = 0.726 states/eV/atom; space-group type = No. 122
1.0
-6.731 6.731 2.638
6.731 -6.731 2.638
6.731 6.731 -2.638
Cs Mg Cu
4 2 2
Cartesian
0.916 3.366 0.659
-3.366 5.815 1.978
-0.916 10.097 0.659
3.366 7.648 1.978
6.731 0.000 1.319
0.000 0.000 2.638
0.000 0.000 0.000
0.000 6.731 1.319



Stability verdict: 2, ahead by 161 meV/atom



1.
PBE CsMgCuP2, relaxed; magnetic moment = 0.00 μB/f.u.; DOS at the Fermi energy = 0.329 states/eV/atom; space-group type = No. 123
1.0
4.825 0.000 0.000
0.000 4.825 0.000
0.000 0.000 5.033
Cs Mg Cu P
1 1 1 2
Cartesian
0.000 0.000 0.000
2.413 2.413 0.000
2.413 2.413 2.516
0.000 2.413 2.516
2.413 0.000 2.516



2.
PBE CsMgCuP2, relaxed; magnetic moment = 0.01 μB/f.u.; DOS at the Fermi energy = 0.708 states/eV/atom; space-group type = No. 123
1.0
5.558 0.000 0.000
0.000 5.558 0.000
0.000 0.000 5.078
Cs Mg Cu P
1 1 1 2
Cartesian
0.000 0.000 0.000
2.779 2.779 2.539
0.000 0.000 2.539
0.000 2.779 0.000
2.779 0.000 0.000



Stability verdict: 1, ahead by 1354 meV/atom



1.
PBE CsMnCu3, relaxed; magnetic moment = 4.57 μB/f.u.; DOS at the Fermi energy = 0.492 states/eV/atom; space-group type = No. 221
1.0
4.986 0.000 0.000
0.000 4.986 0.000
0.000 0.000 4.986
Cs Mn Cu
1 1 3
Cartesian
0.000 0.000 0.000
2.493 2.493 2.493
0.000 2.493 2.493
2.493 0.000 2.493
2.493 2.493 0.000



2.
PBE CsMnCu3, relaxed; magnetic moment = 4.90 μB/f.u.; DOS at the Fermi energy = 0.560 states/eV/atom; space-group type = No. 221
1.0
5.357 0.000 0.000
0.000 5.357 0.000
0.000 0.000 5.357
Cs Mn Cu
1 1 3
Cartesian
0.000 0.000 0.000
2.678 2.678 2.678
0.000 0.000 2.678
0.000 2.678 0.000
2.678 0.000 0.000



Stability verdict: 1, ahead by 1249 meV/atom



1.
PBE CsCu3Mo, relaxed; magnetic moment = 0.00 μB/f.u.; DOS at the Fermi energy = 2.426 states/eV/atom; space-group type = No. 221
1.0
4.956 0.000 0.000
0.000 4.956 0.000
0.000 0.000 4.956
Cs Cu Mo
1 3 1
Cartesian
0.000 0.000 0.000
0.000 0.000 2.478
0.000 2.478 0.000
2.478 0.000 0.000
2.478 2.478 2.478



2.
PBE CsCu3Mo, relaxed; magnetic moment = 1.76 μB/f.u.; DOS at the Fermi energy = 1.238 states/eV/atom; space-group type = No. 221
1.0
5.004 0.000 0.000
0.000 5.004 0.000
0.000 0.000 5.004
Cs Cu Mo
1 3 1
Cartesian
0.000 0.000 0.000
0.000 2.502 2.502
2.502 0.000 2.502
2.502 2.502 0.000
2.502 2.502 2.502



Stability verdict: 2, ahead by 1533 meV/atom